# Ba2LiSi2Pd3 (GGA-PBE, relaxed)
data_Ba2LiSi2Pd3
_chemical_formula_sum 'Ba2 Li1 Si2 Pd3'
_space_group_name_H-M_alt 'P 1 m 1'
_space_group_IT_number 6
_cell_length_a 6.159
_cell_length_b 4.370
_cell_length_c 7.019
_cell_angle_alpha 90.00
_cell_angle_beta 90.28
_cell_angle_gamma 90.00
loop_
_space_group_symop_operation_xyz
'x,y,z'
'x,-y,z'
loop_
_atom_site_label
_atom_site_type_symbol
_atom_site_fract_x
_atom_site_fract_y
_atom_site_fract_z
Ba1 Ba 0.000 0.000 0.000
Ba2 Ba 0.253 0.500 0.477
Li1 Li 0.523 0.000 0.815
Si1 Si 0.541 0.500 0.020
Si2 Si 0.744 0.000 0.496
Pd1 Pd 0.518 0.000 0.187
Pd2 Pd 0.721 0.500 0.708
Pd3 Pd 0.756 0.500 0.320
# Total DFT energy (no corrections)   -0.340 Ry per atom